[1]
First-principles (GGA-PBE) data for crystalline Sc2NbOs at its relaxed geometry, as listed in the Alexandria database.

Cell: 9.9970 9.9970 9.9970 Å, 17.25 17.25 17.25°
Fractional positions:
Nb (0.5000, 0.5000, 0.5000)
Sc (0.9170, 0.9170, 0.9170)
Sc (0.0830, 0.0830, 0.0830)
Os (0.0000, 0.0000, 0.0000)

Output
The calculation puts the electronic total energy at -32.23 eV for the cell shown. The value obtained for the magnetization is 0.00 μB per formula unit. As for the crystal system: trigonal. The calculation puts the calculated formation energy at 1.7 eV/f.u.

=====

[2]
First-principles (GGA-PBE) data for crystalline NdDy2SiN4 at its relaxed geometry, as listed in the Alexandria database.

Cell: 3.3871 6.0376 11.5500 Å, 90.00 90.00 106.29°
Fractional positions:
N (0.2657, 0.5315, 0.1293)
N (0.5955, 0.1910, 0.2500)
N (0.0000, 0.0000, 0.5000)
N (0.0000, 0.0000, 0.0000)
N (0.2657, 0.5315, 0.3707)
N (0.7343, 0.4685, 0.8707)
N (0.4045, 0.8090, 0.7500)
N (0.7343, 0.4685, 0.6293)
Nd (0.9125, 0.8249, 0.2500)
Nd (0.0875, 0.1751, 0.7500)
Si (0.1777, 0.3553, 0.2500)
Si (0.8223, 0.6447, 0.7500)
Dy (0.6316, 0.2631, 0.4584)
Dy (0.6316, 0.2631, 0.0416)
Dy (0.3684, 0.7369, 0.9584)
Dy (0.3684, 0.7369, 0.5416)

Output
The calculation puts the electronic total energy at -126.79 eV for the cell shown. The formation energy without anion corrections comes out at -1.337 eV per atom. The value obtained for the magnetization is 0.00 μB per formula unit. As for the crystal system: orthorhombic.

=====

- Look up the electronic total energy of the second one.
  -126.79 eV for the cell shown